Record 1
Entry from the Alexandria database: an optimized crystal structure of Cs3TeH (GGA-PBE).

Cell and atoms, written as POSCAR:
```
Cs3TeH
1.0
8.744 0.003 -0.004
3.403 9.440 -0.010
0.944 1.914 5.969
Cs H Te
6 2 2
Direct
0.806 0.232 0.540
0.003 0.899 0.263
0.088 0.487 0.029
0.286 0.154 0.751
0.586 0.525 0.936
0.505 0.861 0.356
0.189 0.112 0.343
0.902 0.274 0.950
0.351 0.524 0.477
0.740 0.862 0.815
```

- SG = P1
- final energy (eV per cell) = -24.49
- offset from the most stable computed form (meV per atom) = 44

=====

Record 2
Entry from the Alexandria database: an optimized crystal structure of Cs7Te2H2 (GGA-PBE).

Cell and atoms, written as POSCAR:
```
Cs7Te2H2
1.0
-7.525 -2.947 2.528
3.398 -2.102 7.673
-2.065 7.642 3.006
Cs Te H
7 2 2
Direct
0.000 0.241 0.500
0.500 0.759 0.000
0.000 0.759 0.500
0.500 0.241 0.000
0.000 0.000 0.000
0.500 0.772 0.500
0.500 0.228 0.500
0.742 0.500 0.742
0.258 0.500 0.258
0.722 0.000 0.278
0.278 0.000 0.722
```

- SG = Cmmm
- final energy (eV per cell) = -24.14

=====

Record 3
Entry from the Alexandria database: an optimized crystal structure of Cs3TeH (GGA-PBE).

Cell and atoms, written as POSCAR:
```
Cs3TeH
1.0
5.447 -3.145 0.000
0.000 6.290 0.000
0.000 0.000 16.192
Cs H Te
6 2 2
Direct
0.000 0.000 0.250
0.000 0.000 0.750
0.333 0.667 0.929
0.333 0.667 0.571
0.667 0.333 0.429
0.667 0.333 0.071
0.333 0.667 0.750
0.667 0.333 0.250
0.000 0.000 0.000
0.000 0.000 0.500
```

- SG = P6_3/mmc
- final energy (eV per cell) = -24.56
- offset from the most stable computed form (meV per atom) = 38

=====

Record 4
Entry from the Alexandria database: an optimized crystal structure of Cs3TeH (GGA-PBE).

Cell and atoms, written as POSCAR:
```
Cs3TeH
1.0
-0.221 -6.978 1.866
4.679 1.284 5.355
-4.986 -1.049 9.484
Cs H Te
6 2 2
Direct
0.165 0.908 0.183
0.092 0.835 0.817
0.092 0.348 0.817
0.652 0.908 0.183
0.304 0.304 0.392
0.696 0.696 0.608
0.000 0.000 0.000
0.250 0.750 0.500
0.604 0.104 0.791
0.896 0.396 0.209
```

- SG = I-4m2
- final energy (eV per cell) = -22.73
- offset from the most stable computed form (meV per atom) = 220

=====

Record 5
Entry from the Alexandria database: an optimized crystal structure of Cs3TeH (GGA-PBE).

Cell and atoms, written as POSCAR:
```
Cs3TeH
1.0
8.370 0.002 0.003
4.184 7.248 0.001
8.366 0.002 6.825
Cs H Te
6 2 2
Direct
0.547 0.342 0.054
0.087 0.848 0.054
0.041 0.388 0.054
0.736 0.043 0.554
0.197 0.537 0.554
0.242 0.998 0.554
0.142 0.193 0.804
0.642 0.193 0.304
0.725 0.526 0.554
0.558 0.860 0.054
```

- SG = P6_3/m
- final energy (eV per cell) = -24.88
- offset from the most stable computed form (meV per atom) = 5

=====

Record 6
Entry from the Alexandria database: an optimized crystal structure of CsTe2H (GGA-PBE).

Cell and atoms, written as POSCAR:
```
CsTe2H
1.0
-3.895 -5.407 -1.444
4.073 -1.531 -5.250
3.198 -6.596 -0.024
Cs H Te
2 2 4
Direct
0.000 0.000 0.000
0.750 0.250 0.500
0.500 0.500 0.000
0.250 0.750 0.500
0.375 0.125 0.250
0.375 0.625 0.250
0.375 0.625 0.750
0.875 0.625 0.750
```

- SG = I4_1/amd
- final energy (eV per cell) = -21.64
- offset from the most stable computed form (meV per atom) = 246

=====

Record 7
Entry from the Alexandria database: an optimized crystal structure of Cs4TeH (GGA-PBE).

Cell and atoms, written as POSCAR:
```
Cs4TeH
1.0
-2.543 7.703 3.217
-5.680 -4.862 5.119
10.272 -2.009 2.110
Cs Te H
8 2 2
Direct
0.007 0.221 0.927
0.754 0.670 0.606
0.419 0.706 0.927
0.352 0.936 0.606
0.648 0.064 0.394
0.581 0.294 0.073
0.246 0.330 0.394
0.993 0.779 0.073
0.374 0.624 0.249
0.626 0.376 0.751
0.305 0.055 0.110
0.695 0.945 0.890
```

- SG = C2/c
- final energy (eV per cell) = -25.79

=====

Record 8
Entry from the Alexandria database: an optimized crystal structure of Cs3TeH (GGA-PBE).

Cell and atoms, written as POSCAR:
```
Cs3TeH
1.0
5.903 0.001 0.000
-2.939 9.299 0.013
0.010 -7.832 8.697
Cs H Te
6 2 2
Direct
0.455 0.217 0.066
0.748 0.803 0.206
0.076 0.456 0.689
0.399 0.097 0.654
0.101 0.508 0.366
0.751 0.809 0.704
0.707 0.735 0.420
0.257 0.820 0.730
0.467 0.237 0.408
0.032 0.370 0.963
```

- SG = P1
- final energy (eV per cell) = -24.51
- offset from the most stable computed form (meV per atom) = 43

=====

Record 9
Entry from the Alexandria database: an optimized crystal structure of Cs3TeH (GGA-PBE).

Cell and atoms, written as POSCAR:
```
Cs3TeH
1.0
4.959 0.000 6.739
-2.479 4.294 6.739
-2.479 -4.294 6.739
Cs H Te
6 2 2
Direct
0.247 0.799 0.693
0.299 0.747 0.193
0.193 0.299 0.747
0.747 0.193 0.299
0.799 0.693 0.247
0.693 0.247 0.799
0.996 0.996 0.996
0.496 0.496 0.496
0.246 0.246 0.246
0.746 0.746 0.746
```

- SG = R3c
- final energy (eV per cell) = -24.88
- offset from the most stable computed form (meV per atom) = 5

=====

Record 10
Entry from the Alexandria database: an optimized crystal structure of Cs3TeH (GGA-PBE).

Cell and atoms, written as POSCAR:
```
Cs3TeH
1.0
6.643 0.000 -0.055
0.000 8.677 0.000
-3.253 0.000 8.004
Cs H Te
6 2 2
Direct
0.860 0.973 0.218
0.140 0.027 0.782
0.860 0.527 0.218
0.140 0.473 0.782
0.438 0.250 0.372
0.562 0.750 0.628
0.970 0.250 0.442
0.030 0.750 0.558
0.667 0.250 0.836
0.333 0.750 0.164
```

- SG = P2_1/m
- final energy (eV per cell) = -24.51
- offset from the most stable computed form (meV per atom) = 43

=====

Record 11
Entry from the Alexandria database: an optimized crystal structure of Cs3TeH (GGA-PBE).

Cell and atoms, written as POSCAR:
```
Cs3TeH
1.0
-5.974 -1.549 -4.095
-3.662 -3.252 5.556
-3.633 6.151 1.956
Cs H Te
3 1 1
Direct
0.849 0.284 0.849
0.284 0.849 0.849
0.849 0.849 0.284
0.108 0.108 0.108
0.786 0.786 0.786
```

- SG = R3m
- final energy (eV per cell) = -11.67
- offset from the most stable computed form (meV per atom) = 160

=====

Record 12
Entry from the Alexandria database: an optimized crystal structure of Cs3TeH (GGA-PBE).

Cell and atoms, written as POSCAR:
```
Cs3TeH
1.0
0.428 9.155 -22.392
4.659 6.046 -7.722
0.619 -8.390 6.865
Cs H Te
6 2 2
Direct
0.788 0.260 0.740
0.212 0.740 0.260
0.079 0.230 0.770
0.921 0.770 0.230
0.438 0.742 0.258
0.562 0.258 0.742
0.614 0.054 0.946
0.386 0.946 0.054
0.893 0.985 0.015
0.107 0.015 0.985
```

- SG = C2/m
- final energy (eV per cell) = -23.55
- offset from the most stable computed form (meV per atom) = 138

=====

> The highest final energy belongs to which entry?

number 11

=====

> Among the records above, which one has the highest final energy?

number 11

=====

> Which of these has the highest final energy?

number 11

=====

> Which value of final energy does entry 3 give?

-24.56 eV per cell